Density functional theory data (PBE) for K4V2Se after structural relaxation.

a b c (Å): 6.5095 6.5095 16.5927
angles (deg): 90.00 90.00 90.00
Closest atoms and distances in Å follow each position.
Space group I4/mmm (No. 139)
Unique sites:
K1 0.0000 0.0000 0.1859 (multiplicity 4)  1 Se 3.09
K2 0.0000 0.5000 0.0000 (multiplicity 4)  2 Se 3.25, 4 V 3.52
V1 0.0000 0.0000 0.4198 (multiplicity 4)  1 V 2.66
Se1 0.0000 0.0000 0.0000 (multiplicity 2)  6 K 3.09-3.25

The crystal system is tetragonal. The final energy comes out at -3.0878 eV/atom. Its formation energy without anion corrections is 14.816 kcal/mol of atoms.